(1)
Material: Na3Np2NiSe6
Method: DFT, PBE
State: optimized geometry

Calculated values
Energy relative to the elements, uncorrected: -0.963 eV per atom
Total energy: -5.673 eV per atom

a = 6.9521 Å, b = 12.0523 Å, c = 7.3786 Å
α = 90.00°, β = 108.34°, γ = 90.00°
Space group C2/m (No. 12)
One atom of each set of equivalent atoms:
Na (0.0000, 0.0000, 0.0000) x2
Na (0.0000, 0.3316, 0.0000) x4
Np (0.0000, 0.1665, 0.5000) x4
Ni (0.0000, 0.5000, 0.5000) x2
Se (0.2333, 0.3406, 0.7218) x8
Se (0.2444, 0.5000, 0.2789) x4

---

(2)
Material: Na2NpNiSe4
Method: DFT, PBE
State: optimized geometry

Calculated values
Energy relative to the elements, uncorrected: -0.834 eV per atom
Total energy: -5.246 eV per atom

a = 6.5365 Å, b = 4.0388 Å, c = 7.4342 Å
α = 90.00°, β = 108.42°, γ = 90.00°
Space group P2/m (No. 10)
One atom of each set of equivalent atoms:
Na (0.0000, 0.0000, 0.0000) x1
Na (0.5000, 0.5000, 0.0000) x1
Np (0.0000, 0.5000, 0.5000) x1
Ni (0.5000, 0.0000, 0.5000) x1
Se (0.2580, 0.0000, 0.7250) x2
Se (0.2805, 0.5000, 0.2922) x2

---

(3)
Material: Na4Np3NiTe8
Method: DFT, PBE
State: optimized geometry

Calculated values
Energy relative to the elements, uncorrected: -0.650 eV per atom
Total energy: -5.339 eV per atom

a = 15.1589 Å, b = 8.7355 Å, c = 9.0260 Å
α = 90.00°, β = 124.08°, γ = 90.00°
Space group C2/m (No. 12)
One atom of each set of equivalent atoms:
Na (0.0000, 0.0000, 0.0000) x2
Na (0.0000, 0.5000, 0.0000) x2
Na (0.2500, 0.2500, 0.0000) x4
Np (0.0000, 0.0000, 0.5000) x2
Np (0.2500, 0.2500, 0.5000) x4
Ni (0.0000, 0.5000, 0.5000) x2
Te (0.0047, 0.2691, 0.2831) x8
Te (0.2292, 0.5000, 0.7196) x4
Te (0.2459, 0.0000, 0.7378) x4

---

(4)
Material: NaNpNiTe3
Method: DFT, PBE
State: optimized geometry

Calculated values
Energy relative to the elements, uncorrected: -0.559 eV per atom
Total energy: -5.470 eV per atom

a = 9.1118 Å, b = 4.2193 Å, c = 9.7552 Å
α = 90.00°, β = 105.94°, γ = 90.00°
Space group P2_1/m (No. 11)
One atom of each set of equivalent atoms:
Na (0.1929, 0.2500, 0.2338) x2
Np (0.3172, 0.7500, 0.8379) x2
Ni (0.0843, 0.2500, 0.5868) x2
Te (0.0879, 0.2500, 0.8557) x2
Te (0.2047, 0.7500, 0.5172) x2
Te (0.4387, 0.7500, 0.1693) x2